#A
CuAgS2Cl | GGA-PBE | optimized geometry

Calculated values
**Density**: 3.90 g cm⁻³

Cell lengths 4.3185, 4.3185, 6.1809 Å; angles 90.00, 90.00, 90.00 degrees
Fractional coordinates of all 5 atoms:
S1 0.0000 0.5000 0.0000
S2 0.5000 0.0000 0.0000
Cu1 0.0000 0.0000 0.0000
Ag1 0.5000 0.5000 0.5000
Cl1 0.0000 0.0000 0.5000

***

#B
CuAgS2Cl | GGA-PBE | optimized geometry

Calculated values
**Density**: 3.88 g cm⁻³

Cell lengths 4.8381, 4.8381, 4.9562 Å; angles 90.00, 90.00, 90.00 degrees
Fractional coordinates of all 5 atoms:
S1 0.0000 0.5000 0.0000
S2 0.5000 0.0000 0.0000
Cu1 0.5000 0.5000 0.5000
Ag1 0.0000 0.0000 0.0000
Cl1 0.0000 0.0000 0.5000

***

Verdict on stability: #A comes out on top.

***

#A
CuAgSCl2 | GGA-PBE | optimized geometry

Calculated values
**Density**: 4.28 g cm⁻³

Cell lengths 4.8485, 4.8485, 4.5247 Å; angles 90.00, 90.00, 90.00 degrees
Fractional coordinates of all 5 atoms:
S1 0.0000 0.0000 0.5000
Cu1 0.0000 0.0000 0.0000
Ag1 0.5000 0.5000 0.5000
Cl1 0.0000 0.5000 0.0000
Cl2 0.5000 0.0000 0.0000

***

#B
CuAgSCl2 | GGA-PBE | optimized geometry

Calculated values
**Density**: 3.76 g cm⁻³

Cell lengths 4.9314, 4.9314, 4.9847 Å; angles 90.00, 90.00, 90.00 degrees
Fractional coordinates of all 5 atoms:
S1 0.0000 0.0000 0.5000
Cu1 0.5000 0.5000 0.5000
Ag1 0.0000 0.0000 0.0000
Cl1 0.0000 0.5000 0.0000
Cl2 0.5000 0.0000 0.0000

***

Verdict on stability: #A comes out on top.

***

#A
DyAg2Cl6 | GGA-PBE | optimized geometry

Calculated values
**Density**: 3.39 g cm⁻³

Cell lengths 3.9384, 8.0521, 9.4536 Å; angles 84.24, 90.00, 104.16 degrees
Fractional coordinates of all 9 atoms:
Dy1 0.0000 0.0000 0.5000
Ag1 0.8076 0.6152 0.8351
Ag2 0.1924 0.3848 0.1649
Cl1 0.9649 0.9298 0.7802
Cl2 0.7868 0.5737 0.1574
Cl3 0.2132 0.4263 0.8426
Cl4 0.6133 0.2267 0.5194
Cl5 0.3867 0.7733 0.4806
Cl6 0.0351 0.0702 0.2198

***

#B
DyAg2Cl6 | GGA-PBE | optimized geometry

Calculated values
**Density**: 3.79 g cm⁻³

Cell lengths 4.6601, 6.9399, 9.5010 Å; angles 64.34, 75.80, 70.38 degrees
Fractional coordinates of all 9 atoms:
Dy1 0.0000 0.5000 0.5000
Ag1 0.1830 0.7623 0.8717
Ag2 0.8170 0.2377 0.1283
Cl1 0.7033 0.6746 0.9187
Cl2 0.2967 0.3254 0.0813
Cl3 0.9824 0.8114 0.2239
Cl4 0.3687 0.6867 0.5759
Cl5 0.0176 0.1886 0.7761
Cl6 0.6313 0.3133 0.4241

***

Verdict on stability: #A comes out on top.

***

#A
Rb2ErAgCl6 | GGA-PBE | optimized geometry

Calculated values
**Density**: 3.56 g cm⁻³

Cell lengths 7.5758, 7.5758, 7.5758 Å; angles 60.00, 60.00, 60.00 degrees
Fractional coordinates of all 10 atoms:
Rb1 0.7500 0.7500 0.7500
Rb2 0.2500 0.2500 0.2500
Er1 0.0000 0.0000 0.0000
Ag1 0.5000 0.5000 0.5000
Cl1 0.7564 0.2436 0.2436
Cl2 0.2436 0.2436 0.7564
Cl3 0.2436 0.7564 0.7564
Cl4 0.2436 0.7564 0.2436
Cl5 0.7564 0.2436 0.7564
Cl6 0.7564 0.7564 0.2436

***

#B
Rb2ErAgCl6 | GGA-PBE | optimized geometry

Calculated values
**Density**: 3.63 g cm⁻³

Cell lengths 7.5020, 7.6559, 10.5007 Å; angles 90.00, 89.80, 90.00 degrees
Fractional coordinates of all 20 atoms:
Rb1 0.0120 0.9502 0.2505
Rb2 0.5120 0.5498 0.7505
Rb3 0.9880 0.0498 0.7495
Rb4 0.4880 0.4502 0.2495
Er1 0.5000 0.0000 0.5000
Er2 0.0000 0.5000 0.0000
Ag1 0.5000 0.0000 0.0000
Ag2 0.0000 0.5000 0.5000
Cl1 0.2794 0.7008 0.0349
Cl2 0.7794 0.7992 0.5349
Cl3 0.7206 0.2992 0.9651
Cl4 0.2206 0.2008 0.4651
Cl5 0.3008 0.7217 0.4661
Cl6 0.8008 0.7783 0.9661
Cl7 0.6992 0.2783 0.5339
Cl8 0.1992 0.2217 0.0339
Cl9 0.9323 0.5116 0.2456
Cl10 0.4323 0.9884 0.7456
Cl11 0.0677 0.4884 0.7544
Cl12 0.5677 0.0116 0.2544

***

Verdict on stability: #B comes out on top.

***

#A
Ag5Cl2F2 | GGA-PBE | optimized geometry

Calculated values
**Density**: 6.47 g cm⁻³

Cell lengths 4.6240, 4.2823, 10.6025 Å; angles 112.04, 118.66, 90.28 degrees
Fractional coordinates of all 9 atoms:
Ag1 0.6318 0.8937 0.3857
Ag2 0.3682 0.1063 0.6143
Ag3 0.8715 0.6094 0.6175
Ag4 0.1285 0.3906 0.3825
Ag5 0.0000 0.0000 0.0000
Cl1 0.0594 0.2977 0.8237
Cl2 0.9406 0.7023 0.1763
F1 0.5089 0.2664 0.2475
F2 0.4911 0.7336 0.7525

***

#B
Ag5Cl2F2 | GGA-PBE | optimized geometry

Calculated values
**Density**: 6.49 g cm⁻³

Cell lengths 6.3854, 6.0786, 9.6114 Å; angles 108.43, 109.40, 90.00 degrees
Fractional coordinates of all 18 atoms:
Ag1 0.2005 0.6443 0.8511
Ag2 0.7995 0.7932 0.1489
Ag3 0.1506 0.1443 0.8511
Ag4 0.8494 0.2932 0.1489
Ag5 0.2141 0.0891 0.3321
Ag6 0.7859 0.7570 0.6679
Ag7 0.6180 0.5891 0.3321
Ag8 0.3820 0.2570 0.6679
Ag9 0.0870 0.5900 0.5000
Ag10 0.9130 0.0900 0.5000
Cl1 0.1638 0.6023 0.1992
Cl2 0.8362 0.4032 0.8008
Cl3 0.5353 0.1023 0.1992
Cl4 0.4647 0.9032 0.8008
F1 0.0000 0.9864 0.0000
F2 0.5000 0.4864 0.0000
F3 0.4394 0.4704 0.5000
F4 0.5606 0.9704 0.5000

***

Verdict on stability: #A comes out on top.

***

#A
Ag3Cl2F | GGA-PBE | optimized geometry

Calculated values
**Density**: 4.59 g cm⁻³

Cell lengths 3.8948, 13.1225, 11.7197 Å; angles 90.00, 90.00, 91.20 degrees
Fractional coordinates of all 24 atoms:
Ag1 0.7529 0.9524 0.7919
Ag2 0.7529 0.4524 0.7081
Ag3 0.2471 0.0476 0.2081
Ag4 0.2471 0.5476 0.2919
Ag5 0.7728 0.7101 0.8558
Ag6 0.7728 0.2101 0.6442
Ag7 0.2272 0.2899 0.1442
Ag8 0.2272 0.7899 0.3558
Ag9 0.7179 0.7708 0.0935
Ag10 0.7179 0.2708 0.4065
Ag11 0.2821 0.2292 0.9065
Ag12 0.2821 0.7292 0.5935
Cl1 0.8991 0.1421 0.0568
Cl2 0.8991 0.6421 0.4432
Cl3 0.1009 0.8579 0.9432
Cl4 0.1009 0.3579 0.5568
Cl5 0.6572 0.9178 0.2823
Cl6 0.6572 0.4178 0.2177
Cl7 0.3428 0.0822 0.7177
Cl8 0.3428 0.5822 0.7823
F1 0.7545 0.8045 0.6696
F2 0.7545 0.3045 0.8304
F3 0.2455 0.1955 0.3304
F4 0.2455 0.6955 0.1696

***

#B
Ag3Cl2F | GGA-PBE | optimized geometry

Calculated values
**Density**: 5.56 g cm⁻³

Cell lengths 6.0465, 6.8604, 6.8604 Å; angles 119.80, 90.00, 90.00 degrees
Fractional coordinates of all 12 atoms:
Ag1 0.4979 0.1251 0.8217
Ag2 0.9979 0.1783 0.8749
Ag3 0.3953 0.4514 0.4514
Ag4 0.8953 0.5486 0.5486
Ag5 0.9979 0.8749 0.1783
Ag6 0.4979 0.8217 0.1251
Cl1 0.7101 0.1634 0.4848
Cl2 0.2101 0.5152 0.8366
Cl3 0.2101 0.8366 0.5152
Cl4 0.7101 0.4848 0.1634
F1 0.7568 0.8707 0.8707
F2 0.2568 0.1293 0.1293

***

Verdict on stability: #B comes out on top.

***

#A
Ag2ClF2 | GGA-PBE | optimized geometry

Calculated values
**Density**: 4.33 g cm⁻³

Cell lengths 6.3706, 6.3706, 7.0814 Å; angles 116.73, 116.73, 90.00 degrees
Fractional coordinates of all 10 atoms:
Ag1 0.4441 0.7293 0.8882
Ag2 0.4089 0.1941 0.3882
Ag3 0.9793 0.1941 0.3882
Ag4 0.4441 0.1589 0.8882
Cl1 0.0115 0.0115 0.0230
Cl2 0.2615 0.7615 0.5230
F1 0.6405 0.9155 0.2810
F2 0.6155 0.3905 0.7810
F3 0.1655 0.3905 0.7810
F4 0.6405 0.3655 0.2810

***

#B
Ag2ClF2 | GGA-PBE | optimized geometry

Calculated values
**Density**: 5.38 g cm⁻³

Cell lengths 6.0350, 6.0350, 6.3335 Å; angles 114.07, 114.07, 98.27 degrees
Fractional coordinates of all 10 atoms:
Ag1 0.3981 0.1019 0.2500
Ag2 0.1481 0.3519 0.7500
Ag3 0.8519 0.6481 0.2500
Ag4 0.6019 0.8981 0.7500
Cl1 0.1250 0.3750 0.2500
Cl2 0.8750 0.6250 0.7500
F1 0.4821 0.7321 0.9643
F2 0.2321 0.9821 0.4643
F3 0.5179 0.2679 0.0357
F4 0.7679 0.0179 0.5357

***

Verdict on stability: #B comes out on top.

***

#A
AgClF2 | GGA-PBE | optimized geometry

Calculated values
**Density**: 5.23 g cm⁻³

Cell lengths 4.3329, 4.3329, 4.3329 Å; angles 60.00, 60.00, 60.00 degrees
Fractional coordinates of all 4 atoms:
F1 0.2500 0.2500 0.2500
F2 0.7500 0.7500 0.7500
Ag1 0.5000 0.5000 0.5000
Cl1 0.0000 0.0000 0.0000

***

#B
AgClF2 | GGA-PBE | optimized geometry

Calculated values
**Density**: 4.35 g cm⁻³

Cell lengths 8.2685, 8.2685, 8.2685 Å; angles 21.94, 21.94, 21.94 degrees
Fractional coordinates of all 4 atoms:
F1 0.9175 0.9175 0.9175
F2 0.0825 0.0825 0.0825
Ag1 0.0000 0.0000 0.0000
Cl1 0.5000 0.5000 0.5000

***

Verdict on stability: #A comes out on top.